No. 1
Entry from Alexandria: a geometry-optimized KPd2F5 structure (PBE-GGA).

Cell: 4.8942 5.7324 10.2384 Å, 90.00 90.00 115.27°
With the nearest neighbours (Å) after each atom.
Fractional positions:
Pd 0.1487 0.2973 0.9441  4 F 2.09-2.12
F 0.6664 0.3327 0.9737  1 Pd 2.09
K 0.5279 0.0558 0.2500  5 F 2.64-2.78
F 0.3336 0.6673 0.4737  1 Pd 2.09
F 0.9561 0.9121 0.6218  2 Pd 2.11-2.12
F 0.2172 0.4345 0.7500  2 Pd 2.11
K 0.4721 0.9442 0.7500  5 F 2.64-2.78
F 0.0439 0.0879 0.3782  2 Pd 2.11-2.12
F 0.6664 0.3327 0.5263  1 Pd 2.09
F 0.9561 0.9121 0.8782  2 Pd 2.11-2.12
Pd 0.8513 0.7027 0.4441  4 F 2.09-2.12
F 0.3336 0.6673 0.0263  1 Pd 2.09
F 0.7828 0.5655 0.2500  2 Pd 2.11
Pd 0.1487 0.2973 0.5559  4 F 2.09-2.12
Pd 0.8513 0.7027 0.0559  4 F 2.09-2.12
F 0.0439 0.0879 0.1218  2 Pd 2.11-2.12

Results
- Symmetry: Cmcm, No. 63
- Offset from the most stable computed form: 100 meV/atom
- ΔE_f (raw): -1.511 eV per atom

---

No. 2
Entry from Alexandria: a geometry-optimized ScCoMo4 structure (PBE-GGA).

Cell: 5.2496 5.2496 5.2496 Å, 60.00 60.00 60.00°
With the nearest neighbours (Å) after each atom.
Fractional positions:
Sc 0.7500 0.7500 0.7500  12 Mo 3.08, 4 Co 3.21
Co 0.0000 0.0000 0.0000  12 Mo 3.08, 4 Sc 3.21
Mo 0.3750 0.3750 0.3750  6 Mo 2.62-2.63
Mo 0.3750 0.8751 0.3750  6 Mo 2.62-2.63
Mo 0.3750 0.3750 0.8751  6 Mo 2.62-2.63
Mo 0.8751 0.3750 0.3750  6 Mo 2.62-2.63

Results
- Symmetry: F-43m, No. 216
- Raw total energy: -54.65 eV per cell

---

No. 3
Entry from Alexandria: a geometry-optimized CsSbTe2Ru structure (PBE-GGA).

Cell: 6.3520 6.3520 6.2137 Å, 90.00 90.00 90.00°
With the nearest neighbours (Å) after each atom.
Fractional positions:
Sb 0.0000 0.0000 0.5000  2 Cs 3.11
Te 0.0000 0.5000 0.0000  2 Cs 3.18
Te 0.5000 0.0000 0.0000  2 Cs 3.18
Cs 0.0000 0.0000 0.0000  2 Sb 3.11, 4 Te 3.18
Ru 0.5000 0.5000 0.5000  8 Te 4.44, 4 Sb 4.49

Results
- Symmetry: P4/mmm, No. 123
- ΔE_f (raw): 2.059 eV per atom

---

no.,N(E_F) (states/eV/atom)
1,0.417
2,1.392
3,1.680